VASP calculation (PBE-GGA) on an optimized crystal structure of Pr3Cd5Ag2.

Unit cell a=6.3856 b=9.6403 c=9.6403 alpha=86.54 beta=70.66 gamma=70.66
Closest atoms and distances in Å follow each position.
Fractional positions:
Pr: 0.1264 0.1358 0.6113  3 Ag 3.17-3.52, 4 Cd 3.38-3.49
Pr: 0.6264 0.6113 0.1358  3 Ag 3.17-3.52, 4 Cd 3.38-3.49
Pr: 0.2500 0.0000 0.0000  4 Ag 3.08, 2 Cd 3.19, 2 Pr 3.19
Pr: 0.7500 0.0000 0.0000  4 Ag 3.08, 2 Cd 3.19, 2 Pr 3.19
Pr: 0.3736 0.3887 0.8642  3 Ag 3.17-3.52, 4 Cd 3.38-3.49
Pr: 0.8736 0.8642 0.3887  3 Ag 3.17-3.52, 4 Cd 3.38-3.49
Cd: 0.6246 0.2319 0.5190  1 Ag 2.72, 4 Cd 2.90-2.93
Cd: 0.4948 0.2552 0.2552  5 Cd 2.90-3.19, 2 Ag 2.95, 1 Pr 3.19
Cd: 0.0052 0.7448 0.7448  5 Cd 2.90-3.19, 2 Ag 2.95, 1 Pr 3.19
Cd: 0.8754 0.4810 0.7681  1 Ag 2.72, 4 Cd 2.90-2.93
Cd: 0.9948 0.2552 0.2552  5 Cd 2.90-3.19, 2 Ag 2.95, 1 Pr 3.19
Cd: 0.5052 0.7448 0.7448  5 Cd 2.90-3.19, 2 Ag 2.95, 1 Pr 3.19
Cd: 0.2500 0.5000 0.5000  8 Cd 2.93-3.19
Cd: 0.7500 0.5000 0.5000  8 Cd 2.93-3.19
Cd: 0.3754 0.7681 0.4810  1 Ag 2.72, 4 Cd 2.90-2.93
Cd: 0.1246 0.5190 0.2319  1 Ag 2.72, 4 Cd 2.90-2.93
Ag: 0.8625 0.2885 0.9865  3 Cd 2.72-2.95
Ag: 0.6375 0.0135 0.7115  3 Cd 2.72-2.95
Ag: 0.3625 0.9865 0.2885  3 Cd 2.72-2.95
Ag: 0.1375 0.7115 0.0135  3 Cd 2.72-2.95

Computed properties:
DOS at the Fermi energy, states/eV per cell: 14.95
SG: No. 72
DFT formation energy, eV per atom: -0.16
Spin magnetization, μB/cell: 0.00